# PBE LaDy4Tl2, relaxed
# Mass density: 8.4 g/cm3
# E_form: 81 meV/atom
# E: -0.14438 Ha/atom
data_LaDy4Tl2
_chemical_formula_sum 'La1 Dy4 Tl2'
_cell_length_a 5.111
_cell_length_b 5.111
_cell_length_c 10.923
_cell_angle_alpha 76.47
_cell_angle_beta 76.47
_cell_angle_gamma 60.00
_space_group_name_H-M_alt 'P 1'
_space_group_IT_number 1
loop_
_space_group_symop_operation_xyz
'x,y,z'
loop_
_atom_site_label
_atom_site_fract_x
_atom_site_fract_y
_atom_site_fract_z
Dy1 0.891 0.891 0.327
Dy2 0.295 0.295 0.114
Dy3 0.705 0.705 0.886
Dy4 0.109 0.109 0.673
La1 0.500 0.500 0.500
Tl1 0.602 0.602 0.193
Tl2 0.398 0.398 0.807

=====

# PBE SrTl, relaxed
# Mass density: 6.9 g/cm3
# E_form: -269 meV/atom
# E: -0.08428 Ha/atom
data_SrTl
_chemical_formula_sum 'Sr2 Tl2'
_cell_length_a 6.563
_cell_length_b 6.563
_cell_length_c 6.563
_cell_angle_alpha 134.83
_cell_angle_beta 134.83
_cell_angle_gamma 65.80
_space_group_name_H-M_alt 'P 1'
_space_group_IT_number 1
loop_
_space_group_symop_operation_xyz
'x,y,z'
loop_
_atom_site_label
_atom_site_fract_x
_atom_site_fract_y
_atom_site_fract_z
Tl1 0.250 0.750 0.500
Tl2 0.500 0.500 0.000
Sr1 0.000 0.000 0.000
Sr2 0.750 0.250 0.500

=====

# PBE KRhI2, relaxed
# Uncorrected formation energy: -155 meV/atom
# Mass density: 4.4 g/cm3
# E: -0.11180 Ha/atom
data_KRhI2
_chemical_formula_sum 'K1 Rh1 I2'
_cell_length_a 4.246
_cell_length_b 4.246
_cell_length_c 9.872
_cell_angle_alpha 77.58
_cell_angle_beta 77.58
_cell_angle_gamma 60.00
_space_group_name_H-M_alt 'P 1'
_space_group_IT_number 1
loop_
_space_group_symop_operation_xyz
'x,y,z'
loop_
_atom_site_label
_atom_site_fract_x
_atom_site_fract_y
_atom_site_fract_z
I1 0.883 0.883 0.350
I2 0.117 0.117 0.650
K1 0.000 0.000 0.000
Rh1 0.500 0.500 0.500

=====

# PBE SrAlSeO6, relaxed
# Uncorrected formation energy: -1736 meV/atom
# Mass density: 4.1 g/cm3
# E: -0.22167 Ha/atom
data_SrAlSeO6
_chemical_formula_sum 'Sr1 Al1 Se1 O6'
_cell_length_a 4.974
_cell_length_b 4.974
_cell_length_c 5.452
_cell_angle_alpha 90.00
_cell_angle_beta 90.00
_cell_angle_gamma 60.00
_space_group_name_H-M_alt 'P 1'
_space_group_IT_number 1
loop_
_space_group_symop_operation_xyz
'x,y,z'
loop_
_atom_site_label
_atom_site_fract_x
_atom_site_fract_y
_atom_site_fract_z
O1 0.628 0.985 0.310
O2 0.628 0.386 0.690
O3 0.386 0.628 0.310
O4 0.386 0.985 0.690
O5 0.985 0.629 0.690
O6 0.985 0.386 0.310
Se1 0.667 0.667 0.500
Sr1 0.000 0.000 0.000
Al1 0.333 0.333 0.500

=====

# PBE Sm3Dy3Ni4, relaxed
# Mass density: 8.7 g/cm3
# E_form: -286 meV/atom
# E: -0.19827 Ha/atom
data_Sm3Dy3Ni4
_chemical_formula_sum 'Sm3 Dy3 Ni4'
_cell_length_a 3.885
_cell_length_b 7.610
_cell_length_c 7.610
_cell_angle_alpha 89.55
_cell_angle_beta 90.00
_cell_angle_gamma 90.00
_space_group_name_H-M_alt 'P 1'
_space_group_IT_number 1
loop_
_space_group_symop_operation_xyz
'x,y,z'
loop_
_atom_site_label
_atom_site_fract_x
_atom_site_fract_y
_atom_site_fract_z
Ni1 0.000 0.621 0.379
Ni2 0.000 0.884 0.876
Ni3 0.000 0.124 0.116
Ni4 0.000 0.374 0.626
Dy1 0.000 0.000 0.503
Dy2 0.500 0.167 0.833
Dy3 0.000 0.497 0.000
Sm1 0.500 0.333 0.335
Sm2 0.500 0.665 0.667
Sm3 0.500 0.835 0.165

=====

# PBE SiNiPH, relaxed
# Mass density: 4.3 g/cm3
# E: -0.18376 Ha/atom
data_SiNiPH
_chemical_formula_sum 'Si1 Ni1 P1 H1'
_cell_length_a 3.184
_cell_length_b 3.862
_cell_length_c 4.140
_cell_angle_alpha 82.91
_cell_angle_beta 90.06
_cell_angle_gamma 65.64
_space_group_name_H-M_alt 'P 1'
_space_group_IT_number 1
loop_
_space_group_symop_operation_xyz
'x,y,z'
loop_
_atom_site_label
_atom_site_fract_x
_atom_site_fract_y
_atom_site_fract_z
Ni1 0.523 0.650 0.554
Si1 0.224 0.248 0.864
P1 0.783 0.128 0.301
H1 0.457 0.783 0.897

=====

# PBE AcTl2GaF8, relaxed
# Uncorrected formation energy: -2809 meV/atom
# Mass density: 6.6 g/cm3
# E: -0.18541 Ha/atom
data_AcTl2GaF8
_chemical_formula_sum 'Ac1 Tl2 Ga1 F8'
_cell_length_a 4.507
_cell_length_b 6.452
_cell_length_c 7.491
_cell_angle_alpha 90.00
_cell_angle_beta 90.00
_cell_angle_gamma 95.21
_space_group_name_H-M_alt 'P 1'
_space_group_IT_number 1
loop_
_space_group_symop_operation_xyz
'x,y,z'
loop_
_atom_site_label
_atom_site_fract_x
_atom_site_fract_y
_atom_site_fract_z
F1 0.903 0.182 0.791
F2 0.646 0.832 0.000
F3 0.097 0.818 0.791
F4 0.903 0.182 0.209
F5 0.517 0.787 0.500
F6 0.354 0.168 0.000
F7 0.483 0.213 0.500
F8 0.097 0.818 0.209
Ac1 0.000 0.000 0.500
Ga1 0.000 0.000 0.000
Tl1 0.500 0.500 0.224
Tl2 0.500 0.500 0.776

=====

# PBE PmY3Er2Tm6, relaxed
# Mass density: 7.9 g/cm3
# E_form: 26 meV/atom
# E: -0.18307 Ha/atom
data_PmY3Er2Tm6
_chemical_formula_sum 'Pm1 Y3 Er2 Tm6'
_cell_length_a 6.104
_cell_length_b 6.104
_cell_length_c 11.683
_cell_angle_alpha 94.99
_cell_angle_beta 94.99
_cell_angle_gamma 119.94
_space_group_name_H-M_alt 'P 1'
_space_group_IT_number 1
loop_
_space_group_symop_operation_xyz
'x,y,z'
loop_
_atom_site_label
_atom_site_fract_x
_atom_site_fract_y
_atom_site_fract_z
Tm1 0.084 0.418 0.249
Tm2 0.916 0.582 0.751
Tm3 0.418 0.084 0.249
Tm4 0.250 0.250 0.751
Tm5 0.582 0.916 0.751
Tm6 0.750 0.750 0.249
Y1 0.833 0.167 0.500
Y2 0.500 0.500 0.500
Y3 0.167 0.833 0.500
Er1 0.333 0.667 0.000
Er2 0.667 0.333 0.000
Pm1 0.000 0.000 0.000